DFT (PBE-GGA) results for crystalline PmYPb2O8 at its relaxed geometry.

It has space group I-4 (No. 82), with a = 5.638 Å, b = 5.638 Å, c = 10.705 Å, α = 90.00°, β = 90.00° and γ = 90.00°. The inequivalent atoms are Pm at (0.000, 0.000, 0.000), Y at (0.000, 0.500, 0.250), Pb at (0.000, 0.000, 0.500), Pb at (0.000, 0.500, 0.750), O at (0.202, 0.258, 0.400) and O at (0.210, 0.755, 0.847).

The energy is -79.1 eV per formula unit. Its volume is 170 Å³/f.u. As for the crystal system: tetragonal. For the uncorrected formation energy, the calculation gives -1737 meV per atom.